{"formula": "TaTlCo4", "functional": "PBE", "state": "optimized geometry", "rho_g_cm3": 12.96, "sg": "F-43m (216)", "formation_energy_ev_per_atom": 0.134, "e_tot_ev_per_atom": -6.973, "lattice_angstrom": [[0.000, 3.414, 3.414], [3.414, 0.000, 3.414], [3.414, 3.414, 0.000]], "species": ["Ta", "Tl", "Co", "Co", "Co", "Co"], "fractional_positions": [[0.000, 0.000, 0.000], [0.750, 0.750, 0.750], [0.375, 0.375, 0.375], [0.375, 0.375, 0.876], [0.375, 0.876, 0.375], [0.876, 0.375, 0.375]]}